# 1
Na3Tl5Te12: relaxed, PBE.

It has space group Ia-3d (No. 230), with a = 18.909 Å, b = 18.909 Å, c = 18.909 Å, α = 90.00°, β = 90.00° and γ = 90.00°. Symmetry generates all atoms from Na at (0.000, 0.250, 0.125), Tl at (0.000, 0.000, 0.000), Tl at (0.000, 0.250, 0.375) and Te at (0.012, 0.092, 0.670).

As for the formation energy from raw total energies: -147 meV/atom.

---

# 2
BaZr2Mo: relaxed, PBE.

It has space group Pmmm (No. 47), with a = 3.558 Å, b = 5.102 Å, c = 5.153 Å, α = 90.00°, β = 90.00° and γ = 90.00°. Symmetry generates all atoms from Ba at (0.000, 0.000, 0.000), Zr at (0.000, 0.500, 0.500), Zr at (0.500, 0.000, 0.500) and Mo at (0.500, 0.500, 0.000).

As for the offset from the most stable computed form: 0.667 eV/atom. The value obtained for the formation energy is 355 kJ/mol of formula units.

---

# 3
LaSm4Eu: relaxed, PBE.

It has space group F-43m (No. 216), with a = 9.660 Å, b = 9.660 Å, c = 9.660 Å, α = 90.00°, β = 90.00° and γ = 90.00°. Symmetry generates all atoms from La at (0.000, 0.000, 0.000), Sm at (0.127, 0.127, 0.373) and Eu at (0.250, 0.250, 0.750).

The value obtained for the formation energy is 129 kJ/mol of formula units.